First-principles (PBE-GGA) data for a relaxed BaCaRe2 crystal, as listed in the Alexandria database.

## Properties
**ΔH_f (0 K)**: 1.30 eV/atom
**E**: -5.9093 eV per atom

```
data_BaCaRe2
_chemical_formula_sum 'Ba2 Ca2 Re4'
_cell_length_a 3.6196
_cell_length_b 4.4020
_cell_length_c 10.7164
_cell_angle_alpha 90.00
_cell_angle_beta 90.00
_cell_angle_gamma 90.00
_space_group_name_H-M_alt 'I m m m'
_space_group_IT_number 71
_space_group_name_Hall '-I 2 2'
loop_
_atom_site_label
_atom_site_type_symbol
_atom_site_fract_x
_atom_site_fract_y
_atom_site_fract_z
Ba1 Ba 0.0000 0.0000 0.0000
Ca1 Ca 0.0000 0.0000 0.5000
Re1 Re 0.0000 0.5000 0.2471
```

***

First-principles (PBE-GGA) data for a relaxed Pm3Cu2Ni4 crystal, as listed in the Alexandria database.

## Properties
**ΔH_f (0 K)**: -0.29 eV/atom
**E**: -5.3558 eV per atom

```
data_Pm3Cu2Ni4
_chemical_formula_sum 'Pm6 Cu4 Ni8'
_cell_length_a 4.0986
_cell_length_b 4.0986
_cell_length_c 23.2684
_cell_angle_alpha 90.00
_cell_angle_beta 90.00
_cell_angle_gamma 120.00
_space_group_name_H-M_alt 'P 3 m 1'
_space_group_IT_number 156
_space_group_name_Hall 'P 3 -2"'
loop_
_atom_site_label
_atom_site_type_symbol
_atom_site_fract_x
_atom_site_fract_y
_atom_site_fract_z
Pm1 Pm 0.0000 0.0000 0.0000
Pm2 Pm 0.0000 0.0000 0.1614
Pm3 Pm 0.0000 0.0000 0.3287
Pm4 Pm 0.0000 0.0000 0.4924
Pm5 Pm 0.0000 0.0000 0.6599
Pm6 Pm 0.0000 0.0000 0.8217
Cu1 Cu 0.3333 0.6667 0.9108
Cu2 Cu 0.6667 0.3333 0.2448
Cu3 Cu 0.6667 0.3333 0.5762
Cu4 Cu 0.6667 0.3333 0.9110
Ni1 Ni 0.3333 0.6667 0.0786
Ni2 Ni 0.3333 0.6667 0.2445
Ni3 Ni 0.3333 0.6667 0.4106
Ni4 Ni 0.3333 0.6667 0.5764
Ni5 Ni 0.3333 0.6667 0.7432
Ni6 Ni 0.6667 0.3333 0.0788
Ni7 Ni 0.6667 0.3333 0.4106
Ni8 Ni 0.6667 0.3333 0.7430
```

***

First-principles (PBE-GGA) data for a relaxed TlGa2Ni2 crystal, as listed in the Alexandria database.

## Properties
**ΔH_f (0 K)**: -0.04 eV/atom
**E**: -4.0364 eV per atom

```
data_TlGa2Ni2
_chemical_formula_sum 'Tl2 Ga4 Ni4'
_cell_length_a 3.7455
_cell_length_b 3.7455
_cell_length_c 11.5995
_cell_angle_alpha 90.00
_cell_angle_beta 90.00
_cell_angle_gamma 90.00
_space_group_name_H-M_alt 'I 4/m m m'
_space_group_IT_number 139
_space_group_name_Hall '-I 4 2'
loop_
_atom_site_label
_atom_site_type_symbol
_atom_site_fract_x
_atom_site_fract_y
_atom_site_fract_z
Tl1 Tl 0.0000 0.0000 0.0000
Ga1 Ga 0.0000 0.5000 0.2500
Ni1 Ni 0.0000 0.0000 0.3900
```

***

First-principles (PBE-GGA) data for a relaxed Nb2ReIr9 crystal, as listed in the Alexandria database.

## Properties
**ΔH_f (0 K)**: -0.13 eV/atom
**E**: -9.4917 eV per atom

```
data_Nb2ReIr9
_chemical_formula_sum 'Nb2 Re1 Ir9'
_cell_length_a 4.8486
_cell_length_b 6.7226
_cell_length_c 6.9265
_cell_angle_alpha 64.31
_cell_angle_beta 69.71
_cell_angle_gamma 70.81
_space_group_name_H-M_alt 'P -1'
_space_group_IT_number 2
_space_group_name_Hall '-P 1'
loop_
_atom_site_label
_atom_site_type_symbol
_atom_site_fract_x
_atom_site_fract_y
_atom_site_fract_z
Nb1 Nb 0.1095 0.0343 0.2400
Re1 Re 0.0000 0.5000 0.0000
Ir1 Ir 0.2151 0.4401 0.3420
Ir2 Ir 0.2453 0.2069 0.7964
Ir3 Ir 0.2841 0.6582 0.5617
Ir4 Ir 0.3933 0.7500 0.9636
Ir5 Ir 0.5000 0.0000 0.5000
```

***

First-principles (PBE-GGA) data for a relaxed InHgSbTe3 crystal, as listed in the Alexandria database.

## Properties
**Raw formation energy**: -0.155 eV/atom
**E**: -2.9191 eV per atom

```
data_InHgSbTe3
_chemical_formula_sum 'In2 Hg2 Sb2 Te6'
_cell_length_a 9.7069
_cell_length_b 4.4758
_cell_length_c 10.7699
_cell_angle_alpha 90.00
_cell_angle_beta 104.13
_cell_angle_gamma 90.00
_space_group_name_H-M_alt 'P 1 21/m 1'
_space_group_IT_number 11
_space_group_name_Hall '-P 2yb'
loop_
_atom_site_label
_atom_site_type_symbol
_atom_site_fract_x
_atom_site_fract_y
_atom_site_fract_z
In1 In 0.0686 0.2500 0.1422
Hg1 Hg 0.1971 0.2500 0.7563
Sb1 Sb 0.3390 0.7500 0.3863
Te1 Te 0.1213 0.2500 0.4081
Te2 Te 0.2038 0.7500 0.0436
Te3 Te 0.4460 0.7500 0.6541
```

***

First-principles (PBE-GGA) data for a relaxed TiTlZn3 crystal, as listed in the Alexandria database.

## Properties
**ΔH_f (0 K)**: 0.68 eV/atom
**E**: -2.1398 eV per atom

```
data_TiTlZn3
_chemical_formula_sum 'Ti1 Tl1 Zn3'
_cell_length_a 5.1319
_cell_length_b 5.1319
_cell_length_c 5.1319
_cell_angle_alpha 90.00
_cell_angle_beta 90.00
_cell_angle_gamma 90.00
_space_group_name_H-M_alt 'P m -3 m'
_space_group_IT_number 221
_space_group_name_Hall '-P 4 2 3'
loop_
_atom_site_label
_atom_site_type_symbol
_atom_site_fract_x
_atom_site_fract_y
_atom_site_fract_z
Ti1 Ti 0.0000 0.0000 0.0000
Tl1 Tl 0.5000 0.5000 0.5000
Zn1 Zn 0.0000 0.0000 0.5000
```

***

First-principles (PBE-GGA) data for a relaxed RbRuPb2 crystal, as listed in the Alexandria database.

## Properties
**ΔH_f (0 K)**: 0.32 eV/atom
**E**: -4.0912 eV per atom

```
data_RbRuPb2
_chemical_formula_sum 'Rb4 Ru4 Pb8'
_cell_length_a 7.0018
_cell_length_b 7.0018
_cell_length_c 14.9495
_cell_angle_alpha 90.00
_cell_angle_beta 90.00
_cell_angle_gamma 90.00
_space_group_name_H-M_alt 'I 41/a m d'
_space_group_IT_number 141
loop_
_space_group_symop_operation_xyz
'x,y,z'
'-x,-y,-z'
'-y+1/4,x+3/4,z+1/4'
'y+1/4,-x+3/4,-z+1/4'
'-x+1/2,-y,z+1/2'
'x+1/2,y,-z+1/2'
'y+1/4,-x+1/4,z+3/4'
'-y+1/4,x+1/4,-z+3/4'
'x,-y,-z'
'-x,y,z'
'-y+1/4,-x+1/4,-z+3/4'
'y+1/4,x+1/4,z+3/4'
'-x+1/2,y,-z+1/2'
'x+1/2,-y,z+1/2'
'y+1/4,x+3/4,-z+1/4'
'-y+1/4,-x+3/4,z+1/4'
'x+1/2,y+1/2,z+1/2'
'-x+1/2,-y+1/2,-z+1/2'
'-y+3/4,x+1/4,z+3/4'
'y+3/4,-x+1/4,-z+3/4'
'-x,-y+1/2,z'
'x,y+1/2,-z'
'y+3/4,-x+3/4,z+1/4'
'-y+3/4,x+3/4,-z+1/4'
'x+1/2,-y+1/2,-z+1/2'
'-x+1/2,y+1/2,z+1/2'
'-y+3/4,-x+3/4,-z+1/4'
'y+3/4,x+3/4,z+1/4'
'-x,y+1/2,-z'
'x,-y+1/2,z'
'y+3/4,x+1/4,-z+3/4'
'-y+3/4,-x+1/4,z+3/4'
loop_
_atom_site_label
_atom_site_type_symbol
_atom_site_fract_x
_atom_site_fract_y
_atom_site_fract_z
Rb1 Rb 0.0000 0.2500 0.3750
Ru1 Ru 0.0000 0.2500 0.8750
Pb1 Pb 0.0000 0.0000 0.0000
```

***

First-principles (PBE-GGA) data for a relaxed CeCd5Pd4 crystal, as listed in the Alexandria database.

## Properties
**ΔH_f (0 K)**: -0.35 eV/atom
**E**: -3.4812 eV per atom

```
data_CeCd5Pd4
_chemical_formula_sum 'Ce1 Cd5 Pd4'
_cell_length_a 3.3043
_cell_length_b 3.3043
_cell_length_c 17.5490
_cell_angle_alpha 90.00
_cell_angle_beta 90.00
_cell_angle_gamma 90.00
_space_group_name_H-M_alt 'P 4/m m m'
_space_group_IT_number 123
_space_group_name_Hall '-P 4 2'
loop_
_atom_site_label
_atom_site_type_symbol
_atom_site_fract_x
_atom_site_fract_y
_atom_site_fract_z
Ce1 Ce 0.0000 0.0000 0.0000
Cd1 Cd 0.5000 0.5000 0.1342
Cd2 Cd 0.5000 0.5000 0.3168
Cd3 Cd 0.5000 0.5000 0.5000
Pd1 Pd 0.0000 0.0000 0.2257
Pd2 Pd 0.0000 0.0000 0.4086
```

***

Q: Which value of E does entry 2 give?
A: -5.3558 eV per atom

***

Q: Among the records above, which one has the highest E?
A: TiTlZn3

***

Q: What is the formula in the third record?
A: TlGa2Ni2